Record 1
# PrIn2Ir, relaxed, DFT PBE
# **Mass density**: 9980 kg/m3
data_PrIn2Ir
_space_group_name_H-M_alt 'P 1 21/m 1'
_space_group_IT_number 11
_cell_length_a 4.429
_cell_length_b 8.118
_cell_length_c 5.654
_cell_angle_alpha 90.00
_cell_angle_beta 112.87
_cell_angle_gamma 90.00
loop_
_space_group_symop_operation_xyz
'x,y,z'
'-x,-y,-z'
'-x,y+1/2,-z'
'x,-y+1/2,z'
loop_
_atom_site_label
_atom_site_fract_x
_atom_site_fract_y
_atom_site_fract_z
Pr1 0.070 0.250 0.138
In1 0.353 0.051 0.708
Ir1 0.219 0.750 0.438


Record 2
# PrIn6Ir3, relaxed, DFT PBE
# **Mass density**: 10744 kg/m3
data_PrIn6Ir3
_space_group_name_H-M_alt 'P 1 21/m 1'
_space_group_IT_number 11
_cell_length_a 8.806
_cell_length_b 4.584
_cell_length_c 10.803
_cell_angle_alpha 90.00
_cell_angle_beta 94.55
_cell_angle_gamma 90.00
loop_
_space_group_symop_operation_xyz
'x,y,z'
'-x,-y,-z'
'-x,y+1/2,-z'
'x,-y+1/2,z'
loop_
_atom_site_label
_atom_site_fract_x
_atom_site_fract_y
_atom_site_fract_z
Pr1 0.071 0.250 0.261
In1 0.098 0.250 0.584
In2 0.138 0.750 0.016
In3 0.301 0.750 0.745
In4 0.327 0.750 0.264
In5 0.415 0.250 0.441
In6 0.434 0.250 0.914
Ir1 0.130 0.250 0.853
Ir2 0.231 0.750 0.492
Ir3 0.398 0.250 0.158


Record 3
# PrInIr, relaxed, DFT PBE
# **Mass density**: 9512 kg/m3
data_PrInIr
_space_group_name_H-M_alt 'F -4 3 m'
_space_group_IT_number 216
_space_group_name_Hall 'F -4 2 3'
_cell_length_a 6.788
_cell_length_b 6.788
_cell_length_c 6.788
_cell_angle_alpha 90.00
_cell_angle_beta 90.00
_cell_angle_gamma 90.00
loop_
_atom_site_label
_atom_site_fract_x
_atom_site_fract_y
_atom_site_fract_z
Pr1 0.000 0.000 0.000
In1 0.000 0.000 0.500
Ir1 0.250 0.250 0.250


Record 4
# Pr8InIr2, relaxed, DFT PBE
# **Mass density**: 7806 kg/m3
data_Pr8InIr2
_space_group_name_H-M_alt 'C 1 2/m 1'
_space_group_IT_number 12
_cell_length_a 8.999
_cell_length_b 13.920
_cell_length_c 5.680
_cell_angle_alpha 90.00
_cell_angle_beta 103.42
_cell_angle_gamma 90.00
loop_
_space_group_symop_operation_xyz
'x,y,z'
'-x,-y,-z'
'-x,y,-z'
'x,-y,z'
'x+1/2,y+1/2,z'
'-x+1/2,-y+1/2,-z'
'-x+1/2,y+1/2,-z'
'x+1/2,-y+1/2,z'
loop_
_atom_site_label
_atom_site_fract_x
_atom_site_fract_y
_atom_site_fract_z
Pr1 0.000 0.249 0.000
Pr2 0.108 0.000 0.803
Pr3 0.200 0.374 0.561
In1 0.000 0.500 0.000
Ir1 0.000 0.197 0.500


Record 5
# Pr2InIr, relaxed, DFT PBE
# **Mass density**: 8605 kg/m3
# **ΔE to the lowest computed polymorph**: 0.000 eV/atom
data_Pr2InIr
_space_group_name_H-M_alt 'C m c m'
_space_group_IT_number 63
_space_group_name_Hall '-C 2c 2'
_cell_length_a 4.071
_cell_length_b 14.880
_cell_length_c 7.502
_cell_angle_alpha 90.00
_cell_angle_beta 90.00
_cell_angle_gamma 90.00
loop_
_atom_site_label
_atom_site_fract_x
_atom_site_fract_y
_atom_site_fract_z
Pr1 0.000 0.141 0.000
In1 0.000 0.496 0.250
Ir1 0.000 0.302 0.250


Record 6
# PrIn4Ir2, relaxed, DFT PBE
# **Mass density**: 10650 kg/m3
data_PrIn4Ir2
_space_group_name_H-M_alt 'P n m a'
_space_group_IT_number 62
_cell_length_a 18.524
_cell_length_b 4.564
_cell_length_c 7.264
_cell_angle_alpha 90.00
_cell_angle_beta 90.00
_cell_angle_gamma 90.00
loop_
_space_group_symop_operation_xyz
'x,y,z'
'-x,-y,-z'
'-x+1/2,-y,z+1/2'
'x+1/2,y,-z+1/2'
'x+1/2,-y+1/2,-z+1/2'
'-x+1/2,y+1/2,z+1/2'
'-x,y+1/2,-z'
'x,-y+1/2,z'
loop_
_atom_site_label
_atom_site_fract_x
_atom_site_fract_y
_atom_site_fract_z
Pr1 0.141 0.250 0.033
In1 0.034 0.750 0.853
In2 0.069 0.250 0.499
In3 0.187 0.750 0.330
In4 0.192 0.750 0.739
Ir1 0.041 0.750 0.243
Ir2 0.217 0.250 0.536


Record 7
# Pr6In3Ir, relaxed, DFT PBE
# **Mass density**: 7479 kg/m3
data_Pr6In3Ir
_space_group_name_H-M_alt 'P n n m'
_space_group_IT_number 58
_cell_length_a 9.360
_cell_length_b 12.051
_cell_length_c 5.441
_cell_angle_alpha 90.00
_cell_angle_beta 90.00
_cell_angle_gamma 90.00
loop_
_space_group_symop_operation_xyz
'x,y,z'
'-x,-y,-z'
'-x,-y,z'
'x,y,-z'
'x+1/2,-y+1/2,-z+1/2'
'-x+1/2,y+1/2,z+1/2'
'-x+1/2,y+1/2,-z+1/2'
'x+1/2,-y+1/2,z+1/2'
loop_
_atom_site_label
_atom_site_fract_x
_atom_site_fract_y
_atom_site_fract_z
Pr1 0.011 0.238 0.000
Pr2 0.153 0.082 0.500
Pr3 0.192 0.421 0.500
In1 0.000 0.500 0.000
In2 0.153 0.727 0.500
Ir1 0.000 0.000 0.000


Record 8
# Pr4In12Ir, relaxed, DFT PBE
# **Mass density**: 8152 kg/m3
data_Pr4In12Ir
_space_group_name_H-M_alt 'I m -3 m'
_space_group_IT_number 229
_space_group_name_Hall '-I 4 2 3'
_cell_length_a 9.544
_cell_length_b 9.544
_cell_length_c 9.544
_cell_angle_alpha 90.00
_cell_angle_beta 90.00
_cell_angle_gamma 90.00
loop_
_atom_site_label
_atom_site_fract_x
_atom_site_fract_y
_atom_site_fract_z
Pr1 0.250 0.250 0.250
In1 0.000 0.000 0.282
In2 0.000 0.250 0.500
Ir1 0.000 0.000 0.000


Record 9
# Pr5In2Ir, relaxed, DFT PBE
# **Mass density**: 7537 kg/m3
data_Pr5In2Ir
_space_group_name_H-M_alt 'P b a m'
_space_group_IT_number 55
_cell_length_a 8.057
_cell_length_b 12.605
_cell_length_c 4.887
_cell_angle_alpha 90.00
_cell_angle_beta 90.00
_cell_angle_gamma 90.00
loop_
_space_group_symop_operation_xyz
'x,y,z'
'-x,-y,-z'
'-x,-y,z'
'x,y,-z'
'x+1/2,-y+1/2,-z'
'-x+1/2,y+1/2,z'
'-x+1/2,y+1/2,-z'
'x+1/2,-y+1/2,z'
loop_
_atom_site_label
_atom_site_fract_x
_atom_site_fract_y
_atom_site_fract_z
Pr1 0.000 0.000 0.000
Pr2 0.136 0.296 0.000
Pr3 0.183 0.571 0.500
In1 0.077 0.833 0.500
Ir1 0.000 0.500 0.000


Record 10
# Pr2In8Ir, relaxed, DFT PBE
# **Mass density**: 8374 kg/m3
data_Pr2In8Ir
_space_group_name_H-M_alt 'P 4/m m m'
_space_group_IT_number 123
_space_group_name_Hall '-P 4 2'
_cell_length_a 4.722
_cell_length_b 4.722
_cell_length_c 12.386
_cell_angle_alpha 90.00
_cell_angle_beta 90.00
_cell_angle_gamma 90.00
loop_
_atom_site_label
_atom_site_fract_x
_atom_site_fract_y
_atom_site_fract_z
Pr1 0.000 0.000 0.194
In1 0.000 0.500 0.000
In2 0.000 0.500 0.380
In3 0.500 0.500 0.192
Ir1 0.000 0.000 0.500


no.,energy of formation (meV per atom)
1,-520
2,-253
3,-452
4,-307
5,-549
6,-374
7,-383
8,-456
9,-459
10,-420